1.
A geometry-optimized HoZrNb4 structure, computed with PBE.

```
HoZrNb4
1.0
-2.9159 2.4962 4.1272
-5.6078 -0.5267 0.2051
-2.3919 -3.1150 4.0426
Nb Ho Zr
4 1 1
Cartesian
-5.6262 0.8410 3.2134
-4.0188 -0.4527 5.1314
-6.8218 -0.7159 5.2340
-5.3643 -1.9636 3.1711
-2.7289 -0.2864 2.0937
0.0000 0.0000 0.0000
```

Values from the calculation:
Total moment ... 0.000 μB per atom
Final energy ... -52.674 eV/cell
Symmetry ... F-43m
Crystal system ... cubic

---

2.
A geometry-optimized KMo2Br structure, computed with PBE.

```
KMo2Br
1.0
7.9505 0.0163 0.0000
-6.1140 5.0824 0.0000
0.0000 0.0000 2.6189
Br K Mo
1 1 2
Cartesian
3.9753 0.0082 1.3094
-3.0570 2.5412 1.3094
0.0000 0.0000 0.0000
0.9183 2.5494 0.0000
```

Values from the calculation:
Total moment ... 0.010 μB per atom
E_form (uncorrected) ... 5.196 eV/f.u.
Final energy ... -19.236 eV/cell
Symmetry ... Cmmm
Crystal system ... orthorhombic

---

3.
A geometry-optimized Tb2ZnGaRu2 structure, computed with PBE.

```
Tb2ZnGaRu2
1.0
-2.4016 -3.1289 4.1909
4.9414 -2.9286 0.6452
0.8910 7.7191 2.3221
Tb Zn Ga Ru
4 2 2 4
Cartesian
0.1457 0.8269 2.6373
3.2850 0.8347 4.5209
2.0391 3.8946 2.0611
1.3917 -2.2330 5.0971
3.7061 -2.1965 0.4839
1.2354 -0.7322 0.1613
2.5052 -3.7609 2.5793
0.0345 -2.2966 2.2567
-1.2726 -1.2198 4.2097
2.3517 -1.1812 2.5193
1.0791 2.8428 4.6389
4.7034 2.8814 2.9486
```

Values from the calculation:
Total moment ... 0.000 μB per atom
Final energy ... -68.707 eV/cell
Symmetry ... Ibam
Crystal system ... orthorhombic

---

4.
A geometry-optimized MnHg6 structure, computed with PBE.

```
MnHg6
1.0
7.2751 0.0000 0.0000
-2.4250 6.8591 0.0000
-2.4250 -3.4295 5.9401
Mn Hg
1 6
Cartesian
0.0000 0.0000 0.0000
-1.2125 3.4295 2.9701
1.2125 4.2869 1.4850
-1.2125 0.8574 4.4551
3.6376 0.0000 2.9701
1.2125 -0.8574 4.4551
3.6376 2.5722 1.4850
```

Values from the calculation:
Total moment ... 0.686 μB per atom
Final energy ... -6.748 eV/cell
Symmetry ... Im-3m
Crystal system ... cubic

---

5.
A geometry-optimized YHg2P structure, computed with PBE.

```
YHg2P
1.0
5.6576 -2.2367 -0.0092
5.6576 2.2367 -0.0092
4.7795 0.0000 3.7641
Y Hg P
1 2 1
Cartesian
0.0000 0.0000 0.0000
12.2847 0.0000 2.8590
3.8100 0.0000 0.8867
8.0473 0.0000 1.8729
```

Values from the calculation:
Total moment ... 0.000 μB per atom
Final energy ... -13.164 eV/cell
Symmetry ... R-3m
Crystal system ... trigonal

---

6.
A geometry-optimized Er14PuZr structure, computed with PBE.

```
Er14PuZr
1.0
-4.9001 -4.8377 0.9978
4.0648 -4.7466 -3.0588
3.9469 -2.2090 8.6729
Er Pu Zr
14 1 1
Cartesian
2.6767 -5.8853 2.7987
-1.8064 -5.9308 4.8273
-1.7476 -7.1993 -1.0384
0.2269 -8.3036 3.2977
-1.3300 -2.4078 -0.0080
0.6444 -3.5125 4.3279
3.4838 -8.8223 4.5169
1.4562 -7.6876 0.0616
3.8968 -4.0830 5.5360
1.8693 -2.9482 1.0807
5.9063 -6.4302 4.0238
3.8787 -5.2954 -0.4316
1.4739 -6.4752 6.0295
-0.5537 -5.3404 1.5740
-3.7799 -4.8263 0.4909
0.7036 -4.7808 -1.5379
```

Values from the calculation:
Total moment ... 0.377 μB per atom
Final energy ... -85.947 eV/cell
Symmetry ... P4/mmm
Crystal system ... tetragonal

---

7.
A geometry-optimized SrCo2Te structure, computed with PBE.

```
SrCo2Te
1.0
5.5667 -0.0496 0.2930
-2.1534 5.1335 0.2930
1.5377 2.2904 3.4224
Co Sr Te
2 1 1
Cartesian
0.0000 0.0000 0.0000
1.7066 2.5420 0.2930
3.5522 1.1204 1.8577
-0.3079 3.7120 1.8577
```

Values from the calculation:
Total moment ... 0.699 μB per atom
E_form (uncorrected) ... 2.145 eV/f.u.
Final energy ... -16.890 eV/cell
Symmetry ... Fmmm
Crystal system ... orthorhombic

---

8.
A geometry-optimized Tb2YHf structure, computed with PBE.

```
Tb2YHf
1.0
-2.7807 -0.2574 1.8540
0.1194 -1.4840 3.0032
1.5520 9.9892 6.7448
Y Tb Hf
1 2 1
Cartesian
-0.5546 4.1239 5.8010
0.9234 7.2652 5.4238
-2.0327 0.9826 6.1781
0.0000 0.0000 0.0000
```

Values from the calculation:
Total moment ... 0.000 μB per atom
Final energy ... -24.187 eV/cell
Symmetry ... R-3m
Crystal system ... trigonal

---

9.
A geometry-optimized BeZnGa3 structure, computed with PBE.

```
BeZnGa3
1.0
4.7924 0.0000 0.0000
0.0000 4.7924 0.0000
0.0000 0.0000 4.7924
Be Zn Ga
1 1 3
Cartesian
2.3962 2.3962 2.3962
0.0000 0.0000 0.0000
0.0000 2.3962 0.0000
0.0000 0.0000 2.3962
2.3962 0.0000 0.0000
```

Values from the calculation:
Total moment ... 0.000 μB per atom
Final energy ... -10.316 eV/cell
Symmetry ... Pm-3m
Crystal system ... cubic

---

10.
A geometry-optimized La2ZnRu structure, computed with PBE.

```
La2ZnRu
1.0
-4.2172 -0.2037 2.6062
-0.6445 -3.5534 3.4025
0.0075 1.1550 4.8254
La Ru Zn
2 1 1
Cartesian
0.0000 0.0000 0.0000
-3.6407 -1.9515 8.1256
-2.4271 -1.3010 5.4171
-1.2136 -0.6505 2.7085
```

Values from the calculation:
Total moment ... 0.000 μB per atom
Final energy ... -20.708 eV/cell
Symmetry ... F-43m
Crystal system ... cubic

---

11.
A geometry-optimized La2TlP structure, computed with PBE.

```
La2TlP
1.0
8.7534 1.2140 -0.2331
6.3862 6.1084 0.2331
-7.4355 -3.9388 2.7109
La P Tl
2 1 1
Cartesian
14.7351 7.1268 0.0000
3.3588 -0.0566 1.2389
8.2531 3.9917 0.0000
4.0665 3.3054 1.4720
```

Values from the calculation:
Total moment ... 0.000 μB per atom
Final energy ... -20.712 eV/cell
Symmetry ... Imm2
Crystal system ... orthorhombic

---

Q: The highest final energy belongs to which entry?
A: MnHg6

---

Q: What is the formula in the eighth record?
A: Tb2YHf

---

Q: Which of these has the highest final energy?
A: MnHg6